BaNaTmSe3 | GGA-PBE | optimized geometry

The structure in CIF format:
```
data_BaNaTmSe3
_symmetry_space_group_name_H-M 'P 1'
_symmetry_Int_Tables_number 1
_cell_length_a 8.625
_cell_length_b 4.339
_cell_length_c 9.620
_cell_angle_alpha 90.00
_cell_angle_beta 107.13
_cell_angle_gamma 90.00
loop_
_symmetry_equiv_pos_as_xyz
'x,y,z'
loop_
_atom_site_label
_atom_site_type_symbol
_atom_site_fract_x
_atom_site_fract_y
_atom_site_fract_z
Se1 Se 0.043 0.250 0.847
Se2 Se 0.762 0.750 0.535
Se3 Se 0.608 0.250 0.876
Na1 Na 0.410 0.750 0.411
Se4 Se 0.238 0.250 0.465
Tm1 Tm 0.178 0.250 0.151
Se5 Se 0.957 0.750 0.153
Na2 Na 0.590 0.250 0.589
Se6 Se 0.392 0.750 0.124
Ba1 Ba 0.723 0.250 0.252
Tm2 Tm 0.822 0.750 0.849
Ba2 Ba 0.277 0.750 0.748
```

Computed properties:
As for the space-group type: P2_1/m.

In2Co | GGA-PBE | optimized geometry

The structure in CIF format:
```
data_In2Co
_symmetry_space_group_name_H-M 'P 1'
_symmetry_Int_Tables_number 1
_cell_length_a 7.894
_cell_length_b 7.894
_cell_length_c 7.894
_cell_angle_alpha 60.00
_cell_angle_beta 60.00
_cell_angle_gamma 60.00
loop_
_symmetry_equiv_pos_as_xyz
'x,y,z'
loop_
_atom_site_label
_atom_site_type_symbol
_atom_site_fract_x
_atom_site_fract_y
_atom_site_fract_z
In1 In 0.375 0.375 0.875
In2 In 0.875 0.375 0.375
In3 In 0.375 0.875 0.375
In4 In 0.375 0.375 0.375
Co1 Co 0.250 0.250 0.250
Co2 Co 0.500 0.500 0.500
```

Computed properties:
As for the space-group type: Fd-3m.

Zr2GeOs | GGA-PBE | optimized geometry

The structure in CIF format:
```
data_Zr2GeOs
_symmetry_space_group_name_H-M 'P 1'
_symmetry_Int_Tables_number 1
_cell_length_a 4.648
_cell_length_b 4.648
_cell_length_c 4.648
_cell_angle_alpha 60.00
_cell_angle_beta 60.00
_cell_angle_gamma 60.00
loop_
_symmetry_equiv_pos_as_xyz
'x,y,z'
loop_
_atom_site_label
_atom_site_type_symbol
_atom_site_fract_x
_atom_site_fract_y
_atom_site_fract_z
Zr1 Zr 0.000 0.000 0.000
Os1 Os 0.250 0.250 0.250
Ge1 Ge 0.500 0.500 0.500
Zr2 Zr 0.750 0.750 0.750
```

Computed properties:
As for the space-group type: F-43m.

SmGdGa | GGA-PBE | optimized geometry

The structure in CIF format:
```
data_SmGdGa
_symmetry_space_group_name_H-M 'P 1'
_symmetry_Int_Tables_number 1
_cell_length_a 5.016
_cell_length_b 5.016
_cell_length_c 5.016
_cell_angle_alpha 60.00
_cell_angle_beta 60.00
_cell_angle_gamma 60.00
loop_
_symmetry_equiv_pos_as_xyz
'x,y,z'
loop_
_atom_site_label
_atom_site_type_symbol
_atom_site_fract_x
_atom_site_fract_y
_atom_site_fract_z
Sm1 Sm 0.750 0.750 0.750
Ga1 Ga 0.000 0.000 0.000
Gd1 Gd 0.250 0.250 0.250
```

Computed properties:
As for the space-group type: F-43m.

ZnAsPtO | GGA-PBE | optimized geometry

The structure in CIF format:
```
data_ZnAsPtO
_symmetry_space_group_name_H-M 'P 1'
_symmetry_Int_Tables_number 1
_cell_length_a 3.351
_cell_length_b 6.169
_cell_length_c 6.307
_cell_angle_alpha 90.00
_cell_angle_beta 90.00
_cell_angle_gamma 90.00
loop_
_symmetry_equiv_pos_as_xyz
'x,y,z'
loop_
_atom_site_label
_atom_site_type_symbol
_atom_site_fract_x
_atom_site_fract_y
_atom_site_fract_z
Pt1 Pt 0.500 0.000 0.124
As1 As 0.000 0.804 0.874
Zn1 Zn 0.000 0.591 0.383
O1 O 0.500 0.237 0.873
O2 O 0.500 0.763 0.373
Pt2 Pt 0.500 0.000 0.624
Zn2 Zn 0.000 0.409 0.883
As2 As 0.000 0.196 0.374
```

Computed properties:
As for the space-group type: Pmc2_1.

Ba3Cd2Bi2Sb2 | GGA-PBE | optimized geometry

The structure in CIF format:
```
data_Ba3Cd2Bi2Sb2
_symmetry_space_group_name_H-M 'P 1'
_symmetry_Int_Tables_number 1
_cell_length_a 9.488
_cell_length_b 9.488
_cell_length_c 7.824
_cell_angle_alpha 111.53
_cell_angle_beta 111.53
_cell_angle_gamma 30.41
loop_
_symmetry_equiv_pos_as_xyz
'x,y,z'
loop_
_atom_site_label
_atom_site_type_symbol
_atom_site_fract_x
_atom_site_fract_y
_atom_site_fract_z
Bi1 Bi 0.792 0.792 0.794
Bi2 Bi 0.208 0.208 0.206
Sb1 Sb 0.501 0.501 0.685
Ba1 Ba 0.863 0.863 0.402
Cd1 Cd 0.666 0.666 0.969
Cd2 Cd 0.334 0.334 0.031
Sb2 Sb 0.499 0.499 0.315
Ba2 Ba 0.137 0.137 0.598
Ba3 Ba 0.000 0.000 0.000
```

Computed properties:
As for the space-group type: C2/m.

no.,E (eV per atom)
1,-4.693
2,-3.341
3,-8.351
4,-4.375
5,-4.635
6,-3.380